# 1
The following is a DFT calculation (PBE-GGA) of an optimized crystal structure of BaHgCl.

Values from the calculation:
- M_tot: 0.00 μB/f.u.
- Energy: -7.60 eV per cell
- Formation energy without anion corrections: -1.177 eV/atom

a b c (Å): 7.319 7.319 7.319
angles (deg): 147.05 147.05 47.30
Atoms (fractional coordinates):
Ba  0.000  0.000  0.000
Hg  0.336  0.336  0.000
Cl  0.592  0.592  0.000

=====

# 2
The following is a DFT calculation (PBE-GGA) of an optimized crystal structure of NdZr2Ti.

Values from the calculation:
- M_tot: 0.00 μB/f.u.
- Energy: -28.71 eV per cell
- DFT formation energy: 0.262 eV/atom

a b c (Å): 11.316 11.316 11.316
angles (deg): 16.15 16.15 16.15
Atoms (fractional coordinates):
Nd  0.000  0.000  0.000
Zr  0.096  0.096  0.096
Zr  0.904  0.904  0.904
Ti  0.500  0.500  0.500